Pa2Re3Si4: optimized geometry, PBE.

Unit cell a=6.8126 b=6.7470 c=6.9997 alpha=90.00 beta=111.14 gamma=90.00
With the nearest neighbours (Å) after each atom.
Space group P2_1/c (No. 14)
Symmetry-distinct sites (fractional):
Pa1 0.1896 0.1665 0.0510  7 Si 2.81-3.01, 1 Re 2.99
Re1 0.2377 0.6352 0.2572  6 Si 2.49-2.62
Re2 0.5000 0.0000 0.5000  6 Si 2.55-2.72
Si1 0.1044 0.5630 0.8747  4 Re 2.49-2.55, 1 Si 2.76
Si2 0.4809 0.6490 0.6327  5 Re 2.55-2.72, 2 Pa 2.81-2.82, 1 Si 2.81

Summary:
- E_form (uncorrected): -4.22 eV/f.u.
- Total magnetization: 0.00 μB per formula unit
- Energy above the lowest structure with this stoichiometry: 0 meV per atom
- Volume: 150.0 Å³/f.u.
- VASP energy: -9.138 eV/atom


AcCe2PaO8: optimized geometry, PBE.

Unit cell a=7.5151 b=7.5151 c=7.4844 alpha=90.00 beta=90.00 gamma=90.00
With the nearest neighbours (Å) after each atom.
Space group I-4m2 (No. 119)
Symmetry-distinct sites (fractional):
Ac1 0.0000 0.0000 0.0000  8 O 2.47-2.75
Ce1 0.0000 0.0000 0.5000  4 O 2.12
Ce2 0.0000 0.5000 0.2500  4 O 2.11
Pa1 0.0000 0.5000 0.7500  8 O 2.26-2.44
O1 0.0000 0.2041 0.6946  1 Ce 2.12, 1 Pa 2.26
O2 0.0000 0.3282 0.0273  1 Ce 2.11

Summary:
- E_form (uncorrected): -38.77 eV/f.u.
- Total magnetization: 0.00 μB per formula unit
- Volume: 211.3 Å³/f.u.
- VASP energy: -8.659 eV/atom


LiCePb: optimized geometry, PBE.

Unit cell a=6.8222 b=6.8222 c=6.8222 alpha=90.00 beta=90.00 gamma=90.00
With the nearest neighbours (Å) after each atom.
Space group F-43m (No. 216)
Symmetry-distinct sites (fractional):
Li1 0.0000 0.0000 0.0000  4 Pb 2.95, 4 Ce 2.95
Ce1 0.2500 0.2500 0.2500  4 Li 2.95
Pb1 0.2500 0.2500 0.7500  4 Li 2.95

Summary:
- Total magnetization: 0.95 μB per formula unit
- Energy above the lowest structure with this stoichiometry: 159 meV per atom
- Volume: 79.4 Å³/f.u.
- Energy relative to the elements: -22 kJ/mol of atoms
- VASP energy: -4.081 eV/atom


Th3IrPt: optimized geometry, PBE.

Unit cell a=14.4317 b=4.1521 c=10.3243 alpha=90.00 beta=113.37 gamma=90.00
With the nearest neighbours (Å) after each atom.
Space group C2/m (No. 12)
Symmetry-distinct sites (fractional):
Th1 0.0315 0.0000 0.3620  1 Ir 2.78, 2 Pt 2.88
Th2 0.1258 0.5000 0.9591  3 Ir 2.88-2.96, 2 Pt 3.01-3.21
Th3 0.2220 0.5000 0.6408  2 Ir 2.91, 2 Pt 3.05
Ir1 0.1743 0.0000 0.8024  6 Th 2.78-2.96
Pt1 0.1104 0.5000 0.2416  6 Th 2.88-3.21

Summary:
- Total magnetization: 0.00 μB per formula unit
- Volume: 142.0 Å³/f.u.
- Energy relative to the elements: -74 kJ/mol of atoms
- VASP energy: -8.195 eV/atom


Y2HBr: optimized geometry, PBE.

Unit cell a=3.6484 b=3.6484 c=21.8715 alpha=90.00 beta=90.00 gamma=120.00
With the nearest neighbours (Å) after each atom.
Space group R-3m (No. 166, hexagonal axes)
Symmetry-distinct sites (fractional):
Y1 0.0000 0.0000 0.2269  3 H 2.48
H1 0.0000 0.0000 0.5000  6 Y 2.48
Br1 0.0000 0.0000 0.0000  6 Y 3.14

Summary:
- Total magnetization: 0.00 μB per formula unit
- Energy above the lowest structure with this stoichiometry: 0 meV per atom
- Volume: 84.0 Å³/f.u.
- VASP energy: -5.201 eV/atom


Li6CdIr2: optimized geometry, PBE.

Unit cell a=7.6744 b=7.6744 c=2.5674 alpha=90.00 beta=90.00 gamma=120.00
With the nearest neighbours (Å) after each atom.
Space group P6/mmm (No. 191)
Symmetry-distinct sites (fractional):
Li1 0.0000 0.3483 0.0000  3 Li 2.33-2.57
Cd1 0.0000 0.0000 0.5000  2 Cd 2.57
Ir1 0.3333 0.6667 0.5000  2 Ir 2.57, 12 Li 2.81

Summary:
- Total magnetization: 0.00 μB per formula unit
- Volume: 131.0 Å³/f.u.
- Energy relative to the elements: -15 kJ/mol of atoms
- VASP energy: -3.502 eV/atom


Tb3Sm3TlZn2: optimized geometry, PBE.

Unit cell a=8.7484 b=8.7484 c=3.8067 alpha=90.00 beta=90.00 gamma=120.00
With the nearest neighbours (Å) after each atom.
Space group P-62m (No. 189)
Symmetry-distinct sites (fractional):
Tb1 0.0000 0.3806 0.0000  1 Tl 3.33, 4 Zn 3.33, 6 Sm 3.39-3.58
Sm1 0.0000 0.7018 0.5000  2 Zn 3.08, 2 Tl 3.23, 2 Tb 3.39
Tl1 0.0000 0.0000 0.0000  6 Sm 3.23, 3 Tb 3.33
Zn1 0.3333 0.6667 0.5000  3 Sm 3.08, 6 Tb 3.33

Summary:
- Total magnetization: 0.00 μB per formula unit
- Volume: 252.3 Å³/f.u.
- Energy relative to the elements: -13 kJ/mol of atoms
- VASP energy: -3.799 eV/atom


Ce2TmGe3Rh4: optimized geometry, PBE.

Unit cell a=4.1470 b=4.1470 c=11.2340 alpha=90.00 beta=90.00 gamma=90.00
With the nearest neighbours (Å) after each atom.
Space group P-4m2 (No. 115)
Symmetry-distinct sites (fractional):
Ce1 0.0000 0.5000 0.2332  8 Rh 3.17-3.34, 4 Ge 3.19
Tm1 0.0000 0.0000 0.5000  4 Rh 2.74, 4 Ge 2.93
Ge1 0.0000 0.5000 0.8781  5 Rh 2.46-2.48
Ge2 0.5000 0.5000 0.5000  4 Rh 2.74, 4 Tm 2.93
Rh1 0.0000 0.0000 0.0000  4 Ge 2.48
Rh2 0.0000 0.5000 0.6593  3 Ge 2.46-2.74, 2 Tm 2.74
Rh3 0.5000 0.5000 0.0000  4 Ge 2.48

Summary:
- Total magnetization: 1.35 μB per formula unit
- Volume: 193.2 Å³/f.u.
- Energy relative to the elements: -84 kJ/mol of atoms
- VASP energy: -6.833 eV/atom


NaCeIn2Au4: optimized geometry, PBE.

Unit cell a=4.9085 b=4.9085 c=25.0621 alpha=90.00 beta=90.00 gamma=120.00
With the nearest neighbours (Å) after each atom.
Space group R-3m (No. 166, hexagonal axes)
Symmetry-distinct sites (fractional):
Na1 0.0000 0.0000 0.0000  8 Au 2.95-3.02
Ce1 0.0000 0.0000 0.5000  8 Au 3.09-3.14
In1 0.0000 0.0000 0.2548  7 Au 2.98-3.01
Au1 0.0000 0.0000 0.1177  1 Na 2.95, 3 In 3.00, 3 Ce 3.09
Au2 0.0000 0.0000 0.3748  4 In 2.98-3.01, 3 Na 3.02, 1 Ce 3.14

Summary:
- Total magnetization: 0.80 μB per formula unit
- Volume: 174.3 Å³/f.u.
- Energy relative to the elements: -42 kJ/mol of atoms
- VASP energy: -3.669 eV/atom


ZnTc2SnMo: optimized geometry, PBE.

Unit cell a=4.5846 b=4.5846 c=4.6328 alpha=90.00 beta=90.00 gamma=90.00
With the nearest neighbours (Å) after each atom.
Space group P4/mmm (No. 123)
Symmetry-distinct sites (fractional):
Zn1 0.0000 0.0000 0.0000  4 Tc 2.29, 2 Sn 2.32
Tc1 0.0000 0.5000 0.0000  2 Zn 2.29
Sn1 0.0000 0.0000 0.5000  2 Zn 2.32
Mo1 0.5000 0.5000 0.5000  4 Sn 3.24, 8 Tc 3.26

Summary:
- Total magnetization: 4.68 μB per formula unit
- Energy above the lowest structure with this stoichiometry: 0 meV per atom
- Volume: 97.4 Å³/f.u.
- Energy relative to the elements: 161 kJ/mol of atoms
- VASP energy: -5.703 eV/atom


LiMg2IrC: optimized geometry, PBE.

Unit cell a=4.4729 b=4.4729 c=3.9012 alpha=90.00 beta=90.00 gamma=90.00
With the nearest neighbours (Å) after each atom.
Space group P4/mmm (No. 123)
Symmetry-distinct sites (fractional):
Li1 0.0000 0.0000 0.0000  8 Mg 2.97, 4 Ir 3.16
Mg1 0.0000 0.5000 0.5000  2 C 2.24
Ir1 0.5000 0.5000 0.0000  2 C 1.95
C1 0.5000 0.5000 0.5000  2 Ir 1.95

Summary:
- Total magnetization: 0.00 μB per formula unit
- Volume: 78.0 Å³/f.u.
- Energy relative to the elements: -3 kJ/mol of atoms
- VASP energy: -4.672 eV/atom


Mg5Tl5Pb2: optimized geometry, PBE.

Unit cell a=5.6854 b=7.7573 c=8.2276 alpha=66.89 beta=85.63 gamma=74.09
With the nearest neighbours (Å) after each atom.
Space group P-1 (No. 2)
Symmetry-distinct sites (fractional):
Mg1 0.0000 0.0000 0.0000  6 Tl 3.24-3.40, 4 Mg 3.24-3.34, 2 Pb 3.41
Mg2 0.1088 0.2424 0.5926  6 Tl 3.20-3.46, 2 Pb 3.23, 3 Mg 3.24-3.55
Mg3 0.2700 0.7448 0.7598  6 Tl 3.19-3.48, 3 Pb 3.31-3.34, 2 Mg 3.34-3.42
Tl1 0.2886 0.9978 0.3481  7 Mg 3.19-3.48, 3 Tl 3.37-3.50, 1 Pb 3.49
Tl2 0.4282 0.2393 0.9286  5 Mg 3.24-3.48, 4 Tl 3.30-3.50, 3 Pb 3.30-3.47
Tl3 0.5000 0.5000 0.5000  6 Mg 3.24-3.46, 4 Tl 3.37-3.44, 2 Pb 3.43
Pb1 0.1460 0.5040 0.1789  6 Mg 3.23-3.41, 5 Tl 3.30-3.49, 1 Pb 3.52

Summary:
- Total magnetization: 0.00 μB per formula unit
- Energy above the lowest structure with this stoichiometry: 0 meV per atom
- Volume: 320.8 Å³/f.u.
- Energy relative to the elements: 0 kJ/mol of atoms
- VASP energy: -2.268 eV/atom


> The highest VASP energy belongs to which entry?

Mg5Tl5Pb2


> Which value of VASP energy does entry 11 give?

-4.672 eV/atom


> The lowest volume belongs to which entry?

LiMg2IrC